No. 1
A plane-wave DFT calculation with PBE was carried out for a relaxed LiZnP2 crystal.

The structure belongs to space group R-3m (No. 166, hexagonal axes); the cell edges are 3.0472, 3.0472 and 22.6903 Å and the angles 90.00°, 90.00° and 120.00°. Symmetry generates all atoms from Li at (0.0000, 0.0000, 0.0000), Zn at (0.0000, 0.0000, 0.5000) and P at (0.0000, 0.0000, 0.2476).

The crystal system is trigonal. The formation energy comes out at 0.0 eV per formula unit.

=====

No. 2
A plane-wave DFT calculation with PBE was carried out for a relaxed YMgP3 crystal.

The structure belongs to space group Pm-3m (No. 221); the cell edges are 4.7508, 4.7508 and 4.7508 Å and the angles 90.00°, 90.00° and 90.00°. Symmetry generates all atoms from Y at (0.0000, 0.0000, 0.0000), Mg at (0.5000, 0.5000, 0.5000) and P at (0.0000, 0.5000, 0.5000).

The crystal system is cubic. The formation energy comes out at 0.7 eV per formula unit.

=====

No. 3
A plane-wave DFT calculation with PBE was carried out for a relaxed TbTlB2O6 crystal.

The structure belongs to space group C2/c (No. 15); the cell edges are 7.9294, 10.0637 and 6.5804 Å and the angles 90.00°, 106.29° and 90.00°. Symmetry generates all atoms from Tb at (0.0000, 0.0840, 0.2500), Tl at (0.0000, 0.4128, 0.7500), B at (0.2449, 0.1623, 0.7498), O at (0.1109, 0.0952, 0.6091), O at (0.1187, 0.4097, 0.1170) and O at (0.2494, 0.1998, 0.2408).

The crystal system is monoclinic. The value obtained for the uncorrected formation energy is -2299 meV/atom.